Material: NbHgGe
Method: DFT, PBE
State: relaxed

## Properties
For the uncorrected energy, the calculation gives -4.4789 eV per atom. Its space group is F-43m, No. 216. The size of the total moment is 1.18 μB/f.u.

Unit cell a=4.5713 b=4.5713 c=4.5713 alpha=60.00 beta=60.00 gamma=60.00
Element x y z (fractional)
1 Nb 0.0000 0.0000 0.0000
2 Ge 0.2500 0.2500 0.2500
3 Hg 0.7500 0.7500 0.7500


Material: AgIrCl6
Method: DFT, PBE
State: relaxed

## Properties
For the uncorrected energy, the calculation gives -3.1006 eV per atom. Its space group is F-43m, No. 216. The size of the total moment is 1.37 μB/f.u.

Unit cell a=6.6291 b=6.6291 c=6.6291 alpha=60.00 beta=60.00 gamma=60.00
Element x y z (fractional)
1 Cl 0.7458 0.2542 0.7458
2 Ir 0.5000 0.5000 0.5000
3 Cl 0.7458 0.2542 0.2542
4 Cl 0.7458 0.7458 0.2542
5 Ag 0.2500 0.2500 0.2500
6 Cl 0.2542 0.7458 0.2542
7 Cl 0.2542 0.2542 0.7458
8 Cl 0.2542 0.7458 0.7458


Material: BeZnCoMo
Method: DFT, PBE
State: relaxed

## Properties
For the uncorrected energy, the calculation gives -5.6770 eV per atom. Its space group is F-43m, No. 216. The size of the total moment is 0.06 μB/f.u.

Unit cell a=4.0786 b=4.0786 c=4.0786 alpha=60.00 beta=60.00 gamma=60.00
Element x y z (fractional)
1 Co 0.7500 0.7500 0.7500
2 Mo 0.5000 0.5000 0.5000
3 Zn 0.0000 0.0000 0.0000
4 Be 0.2500 0.2500 0.2500


Material: Fe3Bi2
Method: DFT, PBE
State: relaxed

## Properties
For the uncorrected energy, the calculation gives -6.0139 eV per atom. Its space group is R-3c, No. 167. The size of the total moment is 7.86 μB/f.u.

Unit cell a=6.6197 b=6.6197 c=6.6976 alpha=119.62 beta=60.38 gamma=120.00
Element x y z (fractional)
1 Fe 0.5433 0.2500 0.7500
2 Bi 0.3972 0.6028 0.8083
3 Fe 0.0433 0.5433 0.2500
4 Bi 0.1028 0.8972 0.6917
5 Fe 0.4567 0.7500 0.2500
6 Bi 0.8972 0.1028 0.3083
7 Fe 0.9567 0.4567 0.7500
8 Bi 0.6028 0.3972 0.1917
9 Fe 0.7500 0.0433 0.7500
10 Fe 0.2500 0.9567 0.2500


Material: Y3Si2Ni4Sn2
Method: DFT, PBE
State: relaxed

## Properties
For the uncorrected energy, the calculation gives -6.1893 eV per atom. Its space group is Immm, No. 71. The size of the total moment is 0.00 μB/f.u.

Unit cell a=8.0943 b=8.0943 c=8.0943 alpha=149.48 beta=131.65 gamma=58.26
Element x y z (fractional)
1 Y 0.3753 0.8753 0.5000
2 Y 0.0000 0.0000 0.0000
3 Ni 0.9659 0.6516 0.3143
4 Si 0.3169 0.5000 0.8169
5 Ni 0.6627 0.3484 0.3143
6 Sn 0.7795 0.7795 0.0000
7 Sn 0.2205 0.2205 0.0000
8 Y 0.6247 0.1247 0.5000
9 Si 0.6831 0.5000 0.1831
10 Ni 0.3373 0.6516 0.6857
11 Ni 0.0341 0.3484 0.6857


Material: BiAuSeO
Method: DFT, PBE
State: relaxed

## Properties
For the uncorrected energy, the calculation gives -4.5158 eV per atom. Its space group is P2_1, No. 4.

Unit cell a=5.7900 b=5.7728 c=11.0456 alpha=90.00 beta=97.42 gamma=90.00
Element x y z (fractional)
1 Bi 0.0283 0.7262 0.1081
2 Au 0.8797 0.4341 0.3087
3 Se 0.1776 0.1397 0.3032
4 O 0.7524 0.4814 0.9977
5 Se 0.8224 0.6397 0.6968
6 Au 0.3662 0.1898 0.5131
7 Bi 0.4970 0.7332 0.8837
8 Se 0.4458 0.2258 0.7366
9 Bi 0.9717 0.2262 0.8919
10 Se 0.5542 0.7258 0.2634
11 O 0.2426 0.4697 0.0037
12 Au 0.6338 0.6898 0.4869
13 Bi 0.5030 0.2332 0.1163
14 O 0.2476 0.9814 0.0023
15 O 0.7574 0.9697 0.9963
16 Au 0.1203 0.9341 0.6913


Material: DyScGa
Method: DFT, PBE
State: relaxed

## Properties
For the uncorrected energy, the calculation gives -4.2379 eV per atom. Its space group is F-43m, No. 216. The size of the total moment is 0.02 μB/f.u.

Unit cell a=4.8665 b=4.8665 c=4.8665 alpha=60.00 beta=60.00 gamma=60.00
Element x y z (fractional)
1 Ga 0.2500 0.2500 0.2500
2 Sc 0.7500 0.7500 0.7500
3 Dy 0.0000 0.0000 0.0000


Material: Tm2AlZn3Ni2
Method: DFT, PBE
State: relaxed

## Properties
For the uncorrected energy, the calculation gives -3.9345 eV per atom. Its space group is Cm, No. 8. The size of the total moment is 0.00 μB/f.u.

Unit cell a=5.1202 b=5.1202 c=7.0638 alpha=90.07 beta=90.07 gamma=46.31
Element x y z (fractional)
1 Zn 0.1433 0.1433 0.9441
2 Tm 0.4348 0.4348 0.7469
3 Ni 0.7229 0.7229 0.7523
4 Zn 0.1474 0.1474 0.5551
5 Tm 0.5652 0.5652 0.2561
6 Al 0.8490 0.8490 0.0565
7 Zn 0.8540 0.8540 0.4451
8 Ni 0.2835 0.2835 0.2439


Material: CdPPtO
Method: DFT, PBE
State: relaxed

## Properties
For the uncorrected energy, the calculation gives -4.1664 eV per atom. Its space group is P4/nmm, No. 129. The size of the total moment is 0.00 μB/f.u.

Unit cell a=4.3969 b=4.3969 c=7.9869 alpha=90.00 beta=90.00 gamma=90.00
Element x y z (fractional)
1 Cd 0.0000 0.0000 0.5000
2 Pt 0.5000 0.0000 0.0442
3 P 0.0000 0.5000 0.6772
4 Pt 0.0000 0.5000 0.9558
5 P 0.5000 0.0000 0.3228
6 O 0.0000 0.0000 0.0000
7 Cd 0.5000 0.5000 0.5000
8 O 0.5000 0.5000 0.0000


Material: NdAlGa2
Method: DFT, PBE
State: relaxed

## Properties
For the uncorrected energy, the calculation gives -4.1777 eV per atom. Its space group is Ama2, No. 40. The size of the total moment is 0.00 μB/f.u.

Unit cell a=4.5528 b=6.5043 c=6.5043 alpha=120.15 beta=90.00 gamma=90.00
Element x y z (fractional)
1 Al 0.2500 0.8589 0.7207
2 Ga 0.7500 0.1407 0.8537
3 Ga 0.2500 0.2856 0.1436
4 Nd 0.7500 0.6656 0.3312
5 Nd 0.2500 0.3312 0.6656
6 Ga 0.7500 0.1436 0.2856
7 Al 0.7500 0.7207 0.8589
8 Ga 0.2500 0.8537 0.1407


Material: AcGaCo
Method: DFT, PBE
State: relaxed

## Properties
For the uncorrected energy, the calculation gives -4.4556 eV per atom. Its space group is F-43m, No. 216. The size of the total moment is 1.38 μB/f.u.

Unit cell a=4.7930 b=4.7930 c=4.7930 alpha=60.00 beta=60.00 gamma=60.00
Element x y z (fractional)
1 Co 0.7500 0.7500 0.7500
2 Ga 0.0000 0.0000 0.0000
3 Ac 0.2500 0.2500 0.2500


Material: HfFeSbMo
Method: DFT, PBE
State: relaxed

## Properties
For the uncorrected energy, the calculation gives -8.3074 eV per atom. Its space group is F-43m, No. 216. The size of the total moment is 0.95 μB/f.u.

Unit cell a=4.5427 b=4.5427 c=4.5427 alpha=60.00 beta=60.00 gamma=60.00
Element x y z (fractional)
1 Hf 0.5000 0.5000 0.5000
2 Mo 0.2500 0.2500 0.2500
3 Sb 0.0000 0.0000 0.0000
4 Fe 0.7500 0.7500 0.7500